DFT (GGA-PBE) results for crystalline AcSi at its relaxed geometry.

Geometry as CIF:
```
data_AcSi
_cell_length_a 4.7375
_cell_length_b 4.1185
_cell_length_c 6.2983
_cell_angle_alpha 90.00
_cell_angle_beta 112.12
_cell_angle_gamma 90.00
_space_group_name_H-M_alt 'P 1'
_space_group_IT_number 1
loop_
_space_group_symop_operation_xyz
'x,y,z'
loop_
_atom_site_label
_atom_site_fract_x
_atom_site_fract_y
_atom_site_fract_z
Ac1 0.6415 0.7500 0.2829
Si1 0.0644 0.2500 0.1291
Ac2 0.3585 0.2500 0.7171
Si2 0.9356 0.7500 0.8709
```

Values from the calculation:
The volume comes out at 114 Å³/cell. As for the formation energy without anion corrections: -577 meV/atom.

---

DFT (GGA-PBE) results for crystalline TlSbTe3Pd at its relaxed geometry.

Geometry as CIF:
```
data_TlSbTe3Pd
_cell_length_a 4.6047
_cell_length_b 9.0480
_cell_length_c 9.0434
_cell_angle_alpha 97.30
_cell_angle_beta 90.00
_cell_angle_gamma 90.00
_space_group_name_H-M_alt 'P 1'
_space_group_IT_number 1
loop_
_space_group_symop_operation_xyz
'x,y,z'
loop_
_atom_site_label
_atom_site_fract_x
_atom_site_fract_y
_atom_site_fract_z
Te1 0.2500 0.1356 0.8484
Tl1 0.7500 0.8595 0.7845
Te2 0.7500 0.4191 0.2031
Te3 0.7500 0.2293 0.5292
Sb1 0.7500 0.3624 0.8571
Te4 0.2500 0.7707 0.4708
Te5 0.2500 0.5809 0.7969
Sb2 0.2500 0.6376 0.1429
Tl2 0.2500 0.1405 0.2155
Pd1 0.7500 0.9116 0.4630
Pd2 0.2500 0.0884 0.5370
Te6 0.7500 0.8644 0.1516
```

Values from the calculation:
The volume comes out at 374 Å³/cell. As for the formation energy without anion corrections: -189 meV/atom.

---

DFT (GGA-PBE) results for crystalline TlNi2Te3 at its relaxed geometry.

Geometry as CIF:
```
data_TlNi2Te3
_cell_length_a 7.6220
_cell_length_b 7.6220
_cell_length_c 7.6534
_cell_angle_alpha 60.14
_cell_angle_beta 60.14
_cell_angle_gamma 60.00
_space_group_name_H-M_alt 'P 1'
_space_group_IT_number 1
loop_
_space_group_symop_operation_xyz
'x,y,z'
loop_
_atom_site_label
_atom_site_fract_x
_atom_site_fract_y
_atom_site_fract_z
Tl1 0.7682 0.7682 0.6954
Te1 0.2377 0.7287 0.7959
Te2 0.7623 0.2713 0.2041
Ni1 0.0000 0.0000 0.0000
Ni2 0.0000 0.5000 0.0000
Ni3 0.5000 0.0000 0.0000
Te3 0.2377 0.2377 0.7959
Tl2 0.2318 0.2318 0.3046
Te4 0.7287 0.2377 0.7959
Te5 0.7623 0.7623 0.2041
Ni4 0.5000 0.5000 0.0000
Te6 0.2713 0.7623 0.2041
```

Values from the calculation:
The volume comes out at 315 Å³/cell. As for the formation energy without anion corrections: -214 meV/atom.

---

DFT (GGA-PBE) results for crystalline Nd4ErCd5 at its relaxed geometry.

Geometry as CIF:
```
data_Nd4ErCd5
_cell_length_a 3.8110
_cell_length_b 3.8110
_cell_length_c 19.3143
_cell_angle_alpha 90.00
_cell_angle_beta 90.00
_cell_angle_gamma 90.00
_space_group_name_H-M_alt 'P 1'
_space_group_IT_number 1
loop_
_space_group_symop_operation_xyz
'x,y,z'
loop_
_atom_site_label
_atom_site_fract_x
_atom_site_fract_y
_atom_site_fract_z
Nd1 0.0000 0.0000 0.3981
Cd1 0.5000 0.5000 0.7028
Nd2 0.0000 0.0000 0.8051
Cd2 0.5000 0.5000 0.0908
Cd3 0.5000 0.5000 0.2972
Cd4 0.5000 0.5000 0.5000
Er1 0.0000 0.0000 0.0000
Nd3 0.0000 0.0000 0.6019
Cd5 0.5000 0.5000 0.9092
Nd4 0.0000 0.0000 0.1949
```

Values from the calculation:
For the formation energy, the calculation gives -0.3140 eV per atom. The volume comes out at 281 Å³/cell.

---

DFT (GGA-PBE) results for crystalline Cs5Rb2Au at its relaxed geometry.

Geometry as CIF:
```
data_Cs5Rb2Au
_cell_length_a 7.7836
_cell_length_b 10.8086
_cell_length_c 11.1723
_cell_angle_alpha 118.93
_cell_angle_beta 110.39
_cell_angle_gamma 90.00
_space_group_name_H-M_alt 'P 1'
_space_group_IT_number 1
loop_
_space_group_symop_operation_xyz
'x,y,z'
loop_
_atom_site_label
_atom_site_fract_x
_atom_site_fract_y
_atom_site_fract_z
Rb1 0.3789 0.3789 0.7578
Au1 0.0000 0.0000 0.0000
Cs1 0.5000 0.0000 0.0000
Cs2 0.1399 0.9036 0.2798
Cs3 0.8601 0.6238 0.7202
Cs4 0.1399 0.3762 0.2798
Rb2 0.6211 0.6211 0.2422
Cs5 0.8601 0.0964 0.7202
```

Values from the calculation:
For the formation energy, the calculation gives -0.0523 eV per atom. The volume comes out at 755 Å³/cell.

---

DFT (GGA-PBE) results for crystalline BaNb2CoGe at its relaxed geometry.

Geometry as CIF:
```
data_BaNb2CoGe
_cell_length_a 4.6634
_cell_length_b 5.7516
_cell_length_c 4.6634
_cell_angle_alpha 90.00
_cell_angle_beta 90.00
_cell_angle_gamma 90.00
_space_group_name_H-M_alt 'P 1'
_space_group_IT_number 1
loop_
_space_group_symop_operation_xyz
'x,y,z'
loop_
_atom_site_label
_atom_site_fract_x
_atom_site_fract_y
_atom_site_fract_z
Nb1 0.0000 0.0000 0.5000
Nb2 0.5000 0.0000 0.0000
Ge1 0.5000 0.5000 0.5000
Ba1 0.0000 0.5000 0.0000
Co1 0.0000 0.0000 0.0000
```

Values from the calculation:
For the formation energy, the calculation gives 0.8663 eV per atom. The volume comes out at 125 Å³/cell.

---

| no. | raw total energy (eV per atom) |
| --- | --- |
| 1 | -5.34 |
| 2 | -3.71 |
| 3 | -4.11 |
| 4 | -3.13 |
| 5 | -1.24 |
| 6 | -5.89 |